(1)
VASP calculation (PBE-GGA) on a relaxed NaUSb2 crystal.

a b c (Å): 5.7044 5.7044 3.2055
angles (deg): 90.00 90.00 90.00
With the nearest neighbours (Å) after each atom.
Fractional positions:
Na  0.0000  0.0000  0.0000  2 Na 3.21, 8 Sb 3.27
U  0.5000  0.5000  0.0000  2 U 3.21, 8 Sb 3.27
Sb  0.0000  0.5000  0.5000  2 Sb 3.21, 4 Na 3.27, 4 U 3.27
Sb  0.5000  0.0000  0.5000  2 Sb 3.21, 4 Na 3.27, 4 U 3.27

Computed properties:
- space group = No. 123
- energy above the most stable polymorph in this dataset (meV/atom) = 0.0
- uncorrected formation energy (eV/atom) = -0.228

(2)
VASP calculation (PBE-GGA) on a relaxed Dy5TmP6 crystal.

a b c (Å): 6.9241 6.9241 6.9239
angles (deg): 99.60 99.60 119.98
With the nearest neighbours (Å) after each atom.
Fractional positions:
Dy  0.0000  0.0000  0.0000  6 P 2.83-2.84
Dy  0.1666  0.8334  0.5000  6 P 2.83
Dy  0.3330  0.6670  0.0000  6 P 2.83-2.84
Dy  0.6670  0.3330  0.0000  6 P 2.83-2.84
Dy  0.8334  0.1666  0.5000  6 P 2.83
Tm  0.5000  0.5000  0.5000  6 P 2.81
P  0.0857  0.4171  0.2513  1 Tm 2.81, 5 Dy 2.83-2.84
P  0.2516  0.2516  0.7490  1 Tm 2.81, 5 Dy 2.83-2.84
P  0.4171  0.0857  0.2513  1 Tm 2.81, 5 Dy 2.83-2.84
P  0.5829  0.9143  0.7487  1 Tm 2.81, 5 Dy 2.83-2.84
P  0.7484  0.7484  0.2510  1 Tm 2.81, 5 Dy 2.83-2.84
P  0.9143  0.5829  0.7487  1 Tm 2.81, 5 Dy 2.83-2.84

Computed properties:
- formation enthalpy at 0 K (eV/f.u.) = -19.36
- space group = No. 12

(3)
VASP calculation (PBE-GGA) on a relaxed CdHg4Br crystal.

a b c (Å): 6.2256 6.2256 6.2256
angles (deg): 60.00 60.00 60.00
With the nearest neighbours (Å) after each atom.
Fractional positions:
Cd  0.0000  0.0000  0.0000  12 Hg 3.65, 4 Br 3.81
Hg  0.1249  0.6250  0.6250  6 Hg 3.11
Hg  0.6250  0.1249  0.6250  6 Hg 3.11
Hg  0.6250  0.6250  0.1249  6 Hg 3.11
Hg  0.6250  0.6250  0.6250  6 Hg 3.11
Br  0.2500  0.2500  0.2500  12 Hg 3.65, 4 Cd 3.81

Computed properties:
- space group = No. 216
- uncorrected formation energy (eV/atom) = 0.034

(4)
VASP calculation (PBE-GGA) on a relaxed Pm2PrHo3Se6 crystal.

a b c (Å): 7.1107 7.1107 7.2823
angles (deg): 99.35 99.35 120.28
With the nearest neighbours (Å) after each atom.
Fractional positions:
Pm  0.1663  0.8337  0.0000  6 Se 2.97-2.99
Pm  0.8337  0.1663  0.0000  6 Se 2.97-2.99
Pr  0.5000  0.5000  0.0000  6 Se 3.00-3.01
Ho  0.0000  0.0000  0.5000  6 Se 2.85-2.88
Ho  0.3354  0.6646  0.5000  6 Se 2.86-2.87
Ho  0.6646  0.3354  0.5000  6 Se 2.86-2.87
Se  0.0745  0.4114  0.7342  3 Ho 2.86-2.88, 2 Pm 2.98-2.99, 1 Pr 3.01
Se  0.2515  0.2515  0.2644  3 Ho 2.85-2.86, 2 Pm 2.97, 1 Pr 3.00
Se  0.4114  0.0745  0.7342  3 Ho 2.86-2.88, 2 Pm 2.98-2.99, 1 Pr 3.01
Se  0.5886  0.9255  0.2658  3 Ho 2.86-2.88, 2 Pm 2.98-2.99, 1 Pr 3.01
Se  0.7485  0.7485  0.7356  3 Ho 2.85-2.86, 2 Pm 2.97, 1 Pr 3.00
Se  0.9255  0.5886  0.2658  3 Ho 2.86-2.88, 2 Pm 2.98-2.99, 1 Pr 3.01

Computed properties:
- space group = No. 12
- uncorrected formation energy (eV/atom) = -1.787

(5)
VASP calculation (PBE-GGA) on a relaxed LiSb2TeW crystal.

a b c (Å): 5.2656 5.2656 5.5389
angles (deg): 90.00 90.00 90.00
With the nearest neighbours (Å) after each atom.
Fractional positions:
Li  0.0000  0.0000  0.0000  4 Te 3.72, 8 Sb 3.82
Sb  0.0000  0.5000  0.5000  2 W 2.63
Sb  0.5000  0.0000  0.5000  2 W 2.63
Te  0.5000  0.5000  0.0000  2 W 2.77
W  0.5000  0.5000  0.5000  4 Sb 2.63, 2 Te 2.77

Computed properties:
- space group = No. 123
- energy above the most stable polymorph in this dataset (meV/atom) = 0.0
- uncorrected formation energy (eV/atom) = 0.472

(6)
VASP calculation (PBE-GGA) on a relaxed HoGe3 crystal.

a b c (Å): 10.6180 10.6180 3.9187
angles (deg): 90.00 90.00 158.12
With the nearest neighbours (Å) after each atom.
Fractional positions:
Ho  0.0817  0.9183  0.7500  10 Ge 2.95-3.23
Ho  0.9183  0.0817  0.2500  10 Ge 2.95-3.23
Ge  0.1900  0.8100  0.2500  5 Ge 2.53-2.81
Ge  0.3113  0.6887  0.2500  5 Ge 2.53-2.81
Ge  0.4605  0.5395  0.7500  2 Ge 2.56
Ge  0.5395  0.4605  0.2500  2 Ge 2.56
Ge  0.6887  0.3113  0.7500  5 Ge 2.53-2.81
Ge  0.8100  0.1900  0.7500  5 Ge 2.53-2.81

Computed properties:
- formation enthalpy at 0 K (eV/f.u.) = -1.79
- space group = No. 63

The records above yield final energy values of -5.44 -6.61 -0.60 -5.86 -4.78 -5.05 eV per atom, respectively.